1.
Material: SmAl2Sn
Method: DFT, PBE
State: optimized geometry

Structure (POSCAR):
```
SmAl2Sn
1.0
-0.187 -0.503 -5.156
4.273 -1.291 -2.635
0.425 -4.559 -2.176
Al Sm Sn
2 1 1
Cartesian
3.396 -4.711 -7.481 Al
1.115 -1.642 -2.486 Al
2.256 -3.177 -4.983 Sm
0.000 0.000 0.000 Sn
```

* Fermi-level density of states: 0.56 states/eV per atom
* energy of formation: -1.04 kcal/mol of atoms
* E: -16.387 eV for the cell shown



2.
Material: Sm5AlSn5
Method: DFT, PBE
State: optimized geometry

Structure (POSCAR):
```
Sm5AlSn5
1.0
5.182 0.000 0.000
-2.591 5.668 -0.614
0.000 -2.353 11.172
Sm Al Sn
5 1 5
Cartesian
2.591 0.763 3.069 Sm
2.591 0.457 9.514 Sm
0.000 2.858 1.044 Sm
0.000 -1.177 5.586 Sm
0.000 2.552 7.489 Sm
0.000 0.000 0.000 Al
0.000 2.462 4.298 Sn
2.591 4.288 1.919 Sn
0.000 -0.973 8.639 Sn
2.591 0.000 0.000 Sn
2.591 0.852 6.260 Sn
```

* Fermi-level density of states: 0.64 states/eV per atom
* energy of formation: -10.13 kcal/mol of atoms
* E: -52.183 eV for the cell shown



3.
Material: Sm8Al2Sn
Method: DFT, PBE
State: optimized geometry

Structure (POSCAR):
```
Sm8Al2Sn
1.0
-4.554 0.358 -1.970
2.780 -2.981 -6.967
-0.455 -6.435 6.163
Sm Al Sn
8 2 1
Cartesian
-1.579 -2.494 -3.085 Sm
-2.005 -6.415 -2.812 Sm
-0.637 -4.844 -5.688 Sm
-0.651 -6.565 0.311 Sm
-4.001 -6.254 1.830 Sm
1.772 -2.804 -4.605 Sm
-1.592 -4.214 2.913 Sm
-0.224 -2.643 0.038 Sm
-2.870 -4.372 -0.441 Al
0.641 -4.686 -2.333 Al
-2.277 0.179 -0.985 Sn
```

* Fermi-level density of states: 1.06 states/eV per atom
* energy of formation: -5.99 kcal/mol of atoms
* E: -52.099 eV for the cell shown



4.
Material: Sm5Al2Sn2
Method: DFT, PBE
State: optimized geometry

Structure (POSCAR):
```
Sm5Al2Sn2
1.0
-6.297 2.068 4.661
-0.448 -7.705 2.814
5.205 5.718 4.494
Al Sm Sn
4 10 4
Cartesian
-1.005 -4.498 2.270 Al
-5.740 -1.138 5.205 Al
-2.471 -0.091 2.114 Al
-4.274 -5.546 5.361 Al
-2.964 0.525 5.277 Sm
-1.662 1.672 8.627 Sm
0.121 -1.591 3.342 Sm
2.586 3.101 4.590 Sm
-3.372 -2.818 3.737 Sm
1.424 -0.444 6.691 Sm
0.000 0.000 0.000 Sm
-4.126 -3.019 7.379 Sm
-0.499 5.216 6.525 Sm
-1.041 -5.135 5.443 Sm
-0.245 2.122 5.771 Sn
2.680 -2.765 4.847 Sn
2.077 0.778 2.461 Sn
-1.295 -2.040 6.198 Sn
```

* Fermi-level density of states: 0.82 states/eV per atom
* energy of formation: -11.73 kcal/mol of atoms
* E: -87.329 eV for the cell shown



5.
Material: Sm2AlSn3
Method: DFT, PBE
State: optimized geometry

Structure (POSCAR):
```
Sm2AlSn3
1.0
5.818 0.000 0.000
0.000 7.992 -0.077
0.000 -2.697 7.523
Sn Sm Al
6 4 2
Cartesian
2.909 6.131 1.246 Sn
1.455 2.163 3.042 Sn
4.364 3.132 4.405 Sn
0.000 6.131 1.246 Sn
2.909 -0.836 6.200 Sn
0.000 -0.836 6.200 Sn
1.455 2.087 6.212 Sm
4.364 3.208 1.234 Sm
1.455 5.183 4.011 Sm
4.364 0.112 3.436 Sm
1.455 0.613 0.862 Al
4.364 4.682 6.584 Al
```

* Fermi-level density of states: 0.65 states/eV per atom
* energy of formation: -6.26 kcal/mol of atoms
* E: -53.636 eV for the cell shown



6.
Material: Sm7Al2Sn2
Method: DFT, PBE
State: optimized geometry

Structure (POSCAR):
```
Sm7Al2Sn2
1.0
-4.121 5.496 1.113
0.888 -0.862 7.544
6.632 2.035 -0.548
Sm Sn Al
7 2 2
Cartesian
0.000 0.000 0.000 Sm
-1.807 2.503 2.707 Sm
1.471 3.556 2.113 Sm
3.951 0.401 5.120 Sm
1.928 3.113 5.996 Sm
-0.552 6.268 2.989 Sm
5.207 4.167 5.402 Sm
2.500 5.734 4.234 Sn
0.900 0.936 3.875 Sn
3.590 3.014 -0.078 Al
-0.191 3.655 8.187 Al
```

* Fermi-level density of states: 1.27 states/eV per atom
* energy of formation: -3.58 kcal/mol of atoms
* E: -50.232 eV for the cell shown



7.
Material: Sm3AlSn3
Method: DFT, PBE
State: optimized geometry

Structure (POSCAR):
```
Sm3AlSn3
1.0
-3.939 0.284 2.205
0.879 0.427 6.154
-0.962 14.603 1.040
Sn Sm Al
6 6 2
Cartesian
-3.437 3.953 7.268 Sn
-3.235 8.472 7.047 Sn
-3.379 1.434 3.057 Sn
-0.642 13.881 6.343 Sn
-0.584 11.362 2.132 Sn
-0.786 6.843 2.353 Sn
-1.824 1.616 5.812 Sm
-2.319 9.358 3.930 Sm
-2.198 13.699 3.588 Sm
-1.066 3.544 2.278 Sm
-2.956 11.771 7.121 Sm
-1.702 5.957 5.470 Sm
-3.325 5.720 2.601 Al
-0.696 9.595 6.798 Al
```

* Fermi-level density of states: 0.68 states/eV per atom
* energy of formation: -15.53 kcal/mol of atoms
* E: -69.243 eV for the cell shown



8.
Material: SmAl2Sn
Method: DFT, PBE
State: optimized geometry

Structure (POSCAR):
```
SmAl2Sn
1.0
-2.779 -0.169 -3.444
1.833 -3.891 -1.288
-2.977 -2.234 2.512
Al Sn Sm
2 1 1
Cartesian
0.917 -1.946 -0.644 Al
-1.489 -1.117 1.256 Al
-1.390 -0.085 -1.722 Sn
-1.961 -3.147 -1.111 Sm
```

* Fermi-level density of states: 0.44 states/eV per atom
* energy of formation: -9.21 kcal/mol of atoms
* E: -17.805 eV for the cell shown



9.
Material: Sm2Al3Sn2
Method: DFT, PBE
State: optimized geometry

Structure (POSCAR):
```
Sm2Al3Sn2
1.0
-1.800 7.029 -2.622
-5.083 -5.134 -2.707
-0.206 0.002 7.713
Sn Al Sm
4 6 4
Cartesian
-3.393 -2.366 2.754 Sn
-5.549 -1.076 0.124 Sn
-3.251 0.205 -2.388 Sn
-0.184 0.001 6.898 Sn
-2.474 2.273 3.681 Al
-2.973 5.705 -1.256 Al
-5.205 1.573 -3.887 Al
-3.828 2.816 -1.501 Al
-0.616 1.647 1.381 Al
-2.680 3.837 1.103 Al
-6.148 -1.629 3.680 Sm
-0.104 0.001 3.901 Sm
-3.574 0.919 1.176 Sm
-2.552 -2.527 -1.369 Sm
```

* Fermi-level density of states: 0.43 states/eV per atom
* energy of formation: -5.78 kcal/mol of atoms
* E: -60.850 eV for the cell shown



10.
Material: Sm4AlSn3
Method: DFT, PBE
State: optimized geometry

Structure (POSCAR):
```
Sm4AlSn3
1.0
4.608 0.000 0.000
0.000 4.303 0.000
0.000 0.000 11.559
Sm Sn Al
4 3 1
Cartesian
0.000 0.000 1.569 Sm
2.304 2.151 4.127 Sm
0.000 2.151 10.006 Sm
2.304 0.000 7.374 Sm
0.000 0.000 4.748 Sn
2.304 0.000 10.647 Sn
0.000 2.151 6.828 Sn
2.304 2.151 0.936 Al
```

* Fermi-level density of states: 0.73 states/eV per atom
* energy of formation: -15.96 kcal/mol of atoms
* E: -40.163 eV for the cell shown



11.
Material: Sm2AlSn
Method: DFT, PBE
State: optimized geometry

Structure (POSCAR):
```
Sm2AlSn
1.0
-4.192 3.962 3.115
-1.153 -5.481 3.406
6.212 1.997 -0.072
Al Sm Sn
2 4 2
Cartesian
-0.650 -0.053 5.082 Al
1.517 0.530 1.367 Al
1.193 -2.122 3.298 Sm
-3.740 -1.063 4.564 Sm
-0.326 2.599 3.152 Sm
-1.604 -0.456 1.957 Sm
-1.781 -3.529 3.346 Sn
-3.564 2.010 3.175 Sn
```

* Fermi-level density of states: 0.65 states/eV per atom
* energy of formation: -12.64 kcal/mol of atoms
* E: -38.752 eV for the cell shown



12.
Material: Sm4AlSn4
Method: DFT, PBE
State: optimized geometry

Structure (POSCAR):
```
Sm4AlSn4
1.0
-4.582 3.505 2.358
-4.002 -3.236 5.269
1.897 4.112 5.809
Sn Sm Al
4 4 1
Cartesian
-6.676 2.188 8.481 Sn
-0.011 2.193 4.955 Sn
-4.336 2.156 4.842 Sn
-2.351 2.226 8.594 Sn
-2.113 0.411 3.518 Sm
-4.574 3.970 9.918 Sm
-2.217 4.078 6.101 Sm
-4.470 0.304 7.334 Sm
0.000 0.000 0.000 Al
```

* Fermi-level density of states: 0.64 states/eV per atom
* energy of formation: -6.47 kcal/mol of atoms
* E: -41.156 eV for the cell shown